1.
LaYHo2Tm PBE optimized geometry; energy of formation = 375 meV/atom; spin magnetization = 0.00 Bohr magnetons per cell
1.0
-4.855 4.742 2.513
-4.055 -0.247 -7.369
-1.211 -4.215 5.612
Ho Tm Y La
4 2 2 2
Cartesian
-1.261 -0.077 -2.291
-5.222 2.201 -3.821
-3.689 2.294 -1.035
-2.794 -0.170 -5.077
-7.066 1.562 -0.968
-3.056 -1.281 1.724
-8.883 -0.872 0.113
-1.239 1.152 0.643
-5.377 1.232 2.917
-4.745 -0.952 -2.161



2.
PuNp2FeN4 PBE optimized geometry; formation energy (no corrections) = -983 meV/atom; spin magnetization = 16.00 Bohr magnetons per cell
1.0
3.400 0.000 0.000
-1.700 5.606 0.000
0.000 0.000 11.264
N Fe Pu Np
8 2 2 4
Cartesian
0.000 0.000 0.000
0.000 5.050 8.448
1.700 2.571 6.931
1.700 2.571 9.965
1.700 0.557 2.816
0.000 3.035 4.333
0.000 0.000 5.632
0.000 3.035 1.299
1.700 3.828 8.448
0.000 1.779 2.816
1.700 4.424 2.816
0.000 1.183 8.448
1.700 1.459 0.649
0.000 4.147 10.615
1.700 1.459 4.983
0.000 4.147 6.281



- Which value of spin magnetization does entry 2 give?
  16.00 Bohr magnetons per cell



- Number 2 is which compound?
  PuNp2FeN4